Record 1
! ZnPtSeO, relaxed, DFT PBE; values from VASP
! Space-group type: No. 61
&SYSTEM
  ibrav = 0, nat = 32, ntyp = 4
/
ATOMIC_SPECIES
Zn 65.41 Zn.upf
Pt 195.08 Pt.upf
Se 78.96 Se.upf
O 16.00 O.upf
CELL_PARAMETERS angstrom
6.205 0.000 0.000
0.000 13.335 0.000
0.000 0.000 6.710
ATOMIC_POSITIONS crystal
Zn 0.043 0.244 0.131
Zn 0.043 0.256 0.631
Zn 0.457 0.744 0.131
Zn 0.457 0.756 0.631
Zn 0.543 0.244 0.369
Zn 0.543 0.256 0.869
Zn 0.957 0.744 0.369
Zn 0.957 0.756 0.869
Pt 0.248 0.570 0.017
Pt 0.248 0.930 0.517
Pt 0.252 0.070 0.017
Pt 0.252 0.430 0.517
Pt 0.748 0.570 0.483
Pt 0.748 0.930 0.983
Pt 0.752 0.070 0.483
Pt 0.752 0.430 0.983
Se 0.001 0.010 0.751
Se 0.001 0.490 0.251
Se 0.499 0.510 0.751
Se 0.499 0.990 0.251
Se 0.501 0.010 0.749
Se 0.501 0.490 0.249
Se 0.999 0.510 0.749
Se 0.999 0.990 0.249
O 0.221 0.248 0.378
O 0.221 0.252 0.878
O 0.279 0.748 0.378
O 0.279 0.752 0.878
O 0.721 0.248 0.122
O 0.721 0.252 0.622
O 0.779 0.748 0.122
O 0.779 0.752 0.622



Record 2
! LiMg2Pd, relaxed, DFT PBE; values from VASP
! Space-group type: No. 139
&SYSTEM
  ibrav = 0, nat = 4, ntyp = 3
/
ATOMIC_SPECIES
Li 6.94 Li.upf
Mg 24.30 Mg.upf
Pd 106.42 Pd.upf
CELL_PARAMETERS angstrom
-2.282 2.282 3.246
2.282 -2.282 3.246
2.282 2.282 -3.246
ATOMIC_POSITIONS crystal
Li 0.000 0.000 0.000
Mg 0.250 0.750 0.500
Mg 0.750 0.250 0.500
Pd 0.500 0.500 0.000



In Å³ per cell, the calculated volume values for the records above are, in order, 555 68.
In meV per atom, the E above lowest polymorph values for the records above are, in order, 0 0.